1.
An optimized crystal structure of MgCrTc2, computed with PBE.

Unit cell a=5.0691 b=5.0691 c=4.5058 alpha=63.60 beta=63.60 gamma=34.38
Last column: nearest neighbours and their distance in Å.
Fractional coordinates of all 4 atoms:
Tc  0.0214  0.0214  0.9788  2 Cr 2.47, 4 Tc 2.73
Tc  0.4786  0.4786  0.5212  2 Cr 2.47, 4 Tc 2.73
Cr  0.7500  0.7500  0.7500  4 Tc 2.47, 4 Mg 2.71
Mg  0.2500  0.2500  0.2500  4 Cr 2.71, 8 Tc 2.77-2.99, 2 Mg 3.00

2.
An optimized crystal structure of MgCrTc2, computed with PBE.

Unit cell a=9.0359 b=9.0359 c=9.0359 alpha=17.60 beta=17.60 gamma=17.60
Last column: nearest neighbours and their distance in Å.
Fractional coordinates of all 4 atoms:
Mg  0.7500  0.7500  0.7500  6 Mg 2.76, 6 Tc 2.90
Cr  0.2500  0.2500  0.2500  6 Tc 2.58, 6 Cr 2.76
Tc  0.5074  0.5074  0.5074  3 Cr 2.58, 6 Tc 2.76
Tc  0.9926  0.9926  0.9926  3 Cr 2.58, 6 Tc 2.76

3.
An optimized crystal structure of MgCrTc2, computed with PBE.

Unit cell a=3.1414 b=4.3291 c=4.3414 alpha=90.00 beta=90.00 gamma=90.00
Last column: nearest neighbours and their distance in Å.
Fractional coordinates of all 4 atoms:
Mg  0.0000  0.5000  0.5000  4 Cr 2.67, 4 Tc 2.68
Tc  0.0000  0.0000  0.0000  4 Tc 2.67, 4 Cr 2.68
Tc  0.5000  0.5000  0.0000  4 Tc 2.67, 4 Mg 2.68
Cr  0.5000  0.0000  0.5000  4 Mg 2.67, 4 Tc 2.68

4.
An optimized crystal structure of MgCrTc2, computed with PBE.

Unit cell a=5.1527 b=5.0768 c=2.6247 alpha=79.25 beta=81.85 gamma=118.09
Last column: nearest neighbours and their distance in Å.
Fractional coordinates of all 4 atoms:
Mg  0.5000  0.5000  0.0000  2 Mg 2.62, 4 Tc 2.63, 2 Cr 2.72
Tc  0.5000  0.0000  0.5000  4 Tc 2.62-2.72, 2 Mg 2.63, 2 Cr 2.63
Tc  0.0000  0.0000  0.0000  4 Tc 2.62-2.72, 2 Cr 2.63, 2 Mg 2.63
Cr  0.0000  0.5000  0.5000  2 Cr 2.62, 4 Tc 2.63, 2 Mg 2.72

5.
An optimized crystal structure of MgCrTc2, computed with PBE.

Unit cell a=4.2016 b=2.6557 c=5.2254 alpha=79.86 beta=90.00 gamma=90.00
Last column: nearest neighbours and their distance in Å.
Fractional coordinates of all 4 atoms:
Tc  0.0000  0.0468  0.0048  2 Cr 2.57, 4 Tc 2.66-2.76, 2 Mg 2.68
Tc  0.0000  0.4532  0.4952  2 Cr 2.57, 4 Tc 2.66-2.76, 2 Mg 2.68
Mg  0.5000  0.7500  0.7500  2 Mg 2.66, 8 Tc 2.68-2.97, 2 Cr 2.71
Cr  0.5000  0.2500  0.2500  4 Tc 2.57, 2 Cr 2.66, 2 Mg 2.71

6.
An optimized crystal structure of MgCrTc2, computed with PBE.

Unit cell a=2.6832 b=2.6832 c=8.7047 alpha=90.00 beta=90.00 gamma=110.69
Last column: nearest neighbours and their distance in Å.
Fractional coordinates of all 4 atoms:
Mg  0.5000  0.5000  0.7500  4 Mg 2.68, 4 Tc 2.82
Cr  0.5000  0.5000  0.2500  4 Tc 2.50, 4 Cr 2.68
Tc  0.0000  0.0000  0.4779  2 Cr 2.50, 4 Tc 2.68
Tc  0.0000  0.0000  0.0221  2 Cr 2.50, 4 Tc 2.68

no.,calculated volume (A^3/atom),ΔH_f (0 K) (meV per atom)
1,14.47,175
2,14.71,226
3,14.76,311
4,14.35,293
5,14.35,218
6,14.66,180